The following is a DFT calculation (PBE-GGA) of Li2SmIO6 after structural relaxation.

```
data_Li2SmIO6
_chemical_formula_sum 'Li2 Sm1 I1 O6'
_cell_length_a 5.2281
_cell_length_b 5.2282
_cell_length_c 6.0447
_cell_angle_alpha 64.38
_cell_angle_beta 64.38
_cell_angle_gamma 60.00
_space_group_name_H-M_alt 'P 1'
_space_group_IT_number 1
loop_
_space_group_symop_operation_xyz
'x,y,z'
loop_
_atom_site_label
_atom_site_type_symbol
_atom_site_fract_x
_atom_site_fract_y
_atom_site_fract_z
O1 O 0.2284 0.9579 0.2574
O2 O 0.5562 0.2286 0.2574
O3 O 0.6744 0.0760 0.8457
Sm1 Sm 0.8162 0.8162 0.5515
I1 I 0.3162 0.3162 0.0515
Li1 Li 0.6198 0.6199 0.1404
O4 O 0.9579 0.5563 0.2574
O5 O 0.4039 0.6744 0.8456
O6 O 0.0761 0.4038 0.8457
Li2 Li 0.0125 0.0124 0.9626
```

The space group is R-3, No. 148. The value obtained for the magnetization is 0.000 μB per cell. The value obtained for the total energy is -5.7077 eV per atom.

---

The following is a DFT calculation (PBE-GGA) of Pm12Dy2Sc5 after structural relaxation.

```
data_Pm12Dy2Sc5
_chemical_formula_sum 'Pm12 Dy2 Sc5'
_cell_length_a 10.8039
_cell_length_b 8.7489
_cell_length_c 8.3191
_cell_angle_alpha 83.03
_cell_angle_beta 90.00
_cell_angle_gamma 128.13
_space_group_name_H-M_alt 'P 1'
_space_group_IT_number 1
loop_
_space_group_symop_operation_xyz
'x,y,z'
loop_
_atom_site_label
_atom_site_type_symbol
_atom_site_fract_x
_atom_site_fract_y
_atom_site_fract_z
Pm1 Pm 0.6243 0.7788 0.3927
Pm2 Pm 0.6148 0.6349 0.8040
Dy1 Dy 0.2766 0.0000 0.0000
Pm3 Pm 0.8640 0.7280 0.1282
Pm4 Pm 0.8454 0.2212 0.6073
Pm5 Pm 0.1360 0.2720 0.8718
Pm6 Pm 0.5793 0.1587 0.2802
Sc1 Sc 0.6438 0.2875 0.8701
Pm7 Pm 0.0200 0.6349 0.8040
Sc2 Sc 0.7651 0.5301 0.5170
Pm8 Pm 0.3852 0.3651 0.1960
Pm9 Pm 0.3757 0.2212 0.6073
Pm10 Pm 0.1546 0.7788 0.3927
Sc3 Sc 0.3562 0.7125 0.1299
Pm11 Pm 0.4207 0.8413 0.7198
Dy2 Dy 0.7234 0.0000 0.0000
Sc4 Sc 0.2349 0.4699 0.4830
Sc5 Sc 0.0000 0.0000 0.5000
Pm12 Pm 0.9800 0.3651 0.1960
```

The space group is C2/m, No. 12. The value obtained for the magnetization is 0.000 μB per cell. The value obtained for the total energy is -5.0052 eV per atom.

---

The following is a DFT calculation (PBE-GGA) of Mg2FeTe after structural relaxation.

```
data_Mg2FeTe
_chemical_formula_sum 'Mg2 Fe1 Te1'
_cell_length_a 3.6749
_cell_length_b 3.6749
_cell_length_c 5.9010
_cell_angle_alpha 90.00
_cell_angle_beta 90.00
_cell_angle_gamma 90.00
_space_group_name_H-M_alt 'P 1'
_space_group_IT_number 1
loop_
_space_group_symop_operation_xyz
'x,y,z'
loop_
_atom_site_label
_atom_site_type_symbol
_atom_site_fract_x
_atom_site_fract_y
_atom_site_fract_z
Fe1 Fe 0.5000 0.5000 0.7500
Te1 Te 0.5000 0.5000 0.2500
Mg1 Mg 0.0000 0.0000 0.9816
Mg2 Mg 0.0000 0.0000 0.5184
```

The space group is P4/mmm, No. 123. The value obtained for the magnetization is 2.557 μB per cell. The value obtained for the total energy is -3.6294 eV per atom.

---

The following is a DFT calculation (PBE-GGA) of TaCdPt4 after structural relaxation.

```
data_TaCdPt4
_chemical_formula_sum 'Ta2 Cd2 Pt8'
_cell_length_a 3.9116
_cell_length_b 5.5825
_cell_length_c 9.9365
_cell_angle_alpha 90.00
_cell_angle_beta 101.35
_cell_angle_gamma 90.00
_space_group_name_H-M_alt 'P 1'
_space_group_IT_number 1
loop_
_space_group_symop_operation_xyz
'x,y,z'
loop_
_atom_site_label
_atom_site_type_symbol
_atom_site_fract_x
_atom_site_fract_y
_atom_site_fract_z
Ta1 Ta 0.4197 0.2500 0.8394
Pt1 Pt 0.8559 0.0036 0.7118
Pt2 Pt 0.8559 0.4964 0.7118
Cd1 Cd 0.2691 0.7500 0.5382
Pt3 Pt 0.4311 0.7500 0.8622
Pt4 Pt 0.1441 0.5036 0.2882
Pt5 Pt 0.1441 0.9964 0.2882
Ta2 Ta 0.5803 0.7500 0.1606
Pt6 Pt 0.5689 0.2500 0.1378
Pt7 Pt 0.0000 0.0000 0.0000
Cd2 Cd 0.7309 0.2500 0.4618
Pt8 Pt 0.0000 0.5000 0.0000
```

The space group is Cmcm, No. 63. The value obtained for the magnetization is 0.000 μB per cell. The value obtained for the total energy is -6.6810 eV per atom.

---

The following is a DFT calculation (PBE-GGA) of LaCdSi after structural relaxation.

```
data_LaCdSi
_chemical_formula_sum 'La1 Cd1 Si1'
_cell_length_a 4.4720
_cell_length_b 4.4720
_cell_length_c 4.3744
_cell_angle_alpha 90.00
_cell_angle_beta 90.00
_cell_angle_gamma 120.00
_space_group_name_H-M_alt 'P 1'
_space_group_IT_number 1
loop_
_space_group_symop_operation_xyz
'x,y,z'
loop_
_atom_site_label
_atom_site_type_symbol
_atom_site_fract_x
_atom_site_fract_y
_atom_site_fract_z
Si1 Si 0.3333 0.6667 0.8330
Cd1 Cd 0.0000 0.0000 0.8336
La1 La 0.6667 0.3333 0.3334
```

The space group is P-6m2, No. 187. The value obtained for the magnetization is 0.000 μB per cell. The value obtained for the total energy is -4.2260 eV per atom.

---

The following is a DFT calculation (PBE-GGA) of Na2ZrN after structural relaxation.

```
data_Na2ZrN
_chemical_formula_sum 'Na4 Zr2 N2'
_cell_length_a 9.4987
_cell_length_b 9.4987
_cell_length_c 7.0402
_cell_angle_alpha 47.58
_cell_angle_beta 47.58
_cell_angle_gamma 90.00
_space_group_name_H-M_alt 'P 1'
_space_group_IT_number 1
loop_
_space_group_symop_operation_xyz
'x,y,z'
loop_
_atom_site_label
_atom_site_type_symbol
_atom_site_fract_x
_atom_site_fract_y
_atom_site_fract_z
Zr1 Zr 0.7500 0.2500 0.5000
N1 N 0.2500 0.7500 0.5000
Na1 Na 0.4916 0.1250 0.2500
Na2 Na 0.3750 0.5084 0.7500
N2 N 0.5000 0.5000 0.0000
Zr2 Zr 0.0000 0.0000 0.0000
Na3 Na 0.8750 0.7416 0.7500
Na4 Na 0.2584 0.6250 0.2500
```

The space group is I-42d, No. 122. The value obtained for the magnetization is 1.599 μB per cell. The value obtained for the total energy is -4.7201 eV per atom.

---

The following is a DFT calculation (PBE-GGA) of BaLuGa2 after structural relaxation.

```
data_BaLuGa2
_chemical_formula_sum 'Ba1 Lu1 Ga2'
_cell_length_a 3.7481
_cell_length_b 3.7481
_cell_length_c 7.6933
_cell_angle_alpha 90.00
_cell_angle_beta 90.00
_cell_angle_gamma 90.00
_space_group_name_H-M_alt 'P 1'
_space_group_IT_number 1
loop_
_space_group_symop_operation_xyz
'x,y,z'
loop_
_atom_site_label
_atom_site_type_symbol
_atom_site_fract_x
_atom_site_fract_y
_atom_site_fract_z
Ga1 Ga 0.0000 0.0000 0.1937
Ga2 Ga 0.0000 0.0000 0.8063
Ba1 Ba 0.5000 0.5000 0.5000
Lu1 Lu 0.5000 0.5000 0.0000
```

The energy relative to the lowest polymorph listed for this composition is 0.000 eV/atom. The space group is P4/mmm, No. 123. The value obtained for the magnetization is 0.000 μB per cell. The value obtained for the total energy is -3.5594 eV per atom.

---

The following is a DFT calculation (PBE-GGA) of La6Pd2Ru after structural relaxation.

```
data_La6Pd2Ru
_chemical_formula_sum 'La12 Pd4 Ru2'
_cell_length_a 6.8869
_cell_length_b 7.6586
_cell_length_c 10.6286
_cell_angle_alpha 90.00
_cell_angle_beta 86.48
_cell_angle_gamma 90.00
_space_group_name_H-M_alt 'P 1'
_space_group_IT_number 1
loop_
_space_group_symop_operation_xyz
'x,y,z'
loop_
_atom_site_label
_atom_site_type_symbol
_atom_site_fract_x
_atom_site_fract_y
_atom_site_fract_z
Ru1 Ru 0.0000 0.0000 0.5000
La1 La 0.3325 0.8191 0.9282
La2 La 0.1536 0.0438 0.2509
La3 La 0.1675 0.3191 0.5718
La4 La 0.8325 0.6809 0.4282
Pd1 Pd 0.4415 0.1142 0.7306
Ru2 Ru 0.5000 0.5000 0.0000
La5 La 0.3277 0.8176 0.5667
La6 La 0.6723 0.1824 0.4333
La7 La 0.6675 0.1809 0.0718
La8 La 0.3464 0.5438 0.2491
La9 La 0.8464 0.9562 0.7491
La10 La 0.6536 0.4562 0.7509
La11 La 0.8277 0.6824 0.0667
La12 La 0.1723 0.3176 0.9333
Pd2 Pd 0.0585 0.6142 0.7694
Pd3 Pd 0.5585 0.8858 0.2694
Pd4 Pd 0.9415 0.3858 0.2306
```

The space group is P2_1/c, No. 14. The value obtained for the magnetization is 0.000 μB per cell. The value obtained for the total energy is -5.9357 eV per atom.

---

The following is a DFT calculation (PBE-GGA) of Rb2CdAg after structural relaxation.

```
data_Rb2CdAg
_chemical_formula_sum 'Rb2 Cd1 Ag1'
_cell_length_a 4.4056
_cell_length_b 4.4056
_cell_length_c 8.8278
_cell_angle_alpha 90.00
_cell_angle_beta 90.00
_cell_angle_gamma 90.00
_space_group_name_H-M_alt 'P 1'
_space_group_IT_number 1
loop_
_space_group_symop_operation_xyz
'x,y,z'
loop_
_atom_site_label
_atom_site_type_symbol
_atom_site_fract_x
_atom_site_fract_y
_atom_site_fract_z
Cd1 Cd 0.5000 0.5000 0.5000
Ag1 Ag 0.5000 0.5000 0.0000
Rb1 Rb 0.0000 0.0000 0.2318
Rb2 Rb 0.0000 0.0000 0.7682
```

The space group is P4/mmm, No. 123. The value obtained for the magnetization is 0.000 μB per cell. The value obtained for the total energy is -1.3649 eV per atom.

---

The following is a DFT calculation (PBE-GGA) of KY2F after structural relaxation.

```
data_KY2F
_chemical_formula_sum 'K1 Y2 F1'
_cell_length_a 5.6135
_cell_length_b 5.6135
_cell_length_c 5.6135
_cell_angle_alpha 60.00
_cell_angle_beta 60.00
_cell_angle_gamma 60.00
_space_group_name_H-M_alt 'P 1'
_space_group_IT_number 1
loop_
_space_group_symop_operation_xyz
'x,y,z'
loop_
_atom_site_label
_atom_site_type_symbol
_atom_site_fract_x
_atom_site_fract_y
_atom_site_fract_z
K1 K 0.5000 0.5000 0.5000
F1 F 0.0000 0.0000 0.0000
Y1 Y 0.2500 0.2500 0.2500
Y2 Y 0.7500 0.7500 0.7500
```

The energy relative to the lowest polymorph listed for this composition is 0.965 eV/atom. The space group is Fm-3m, No. 225. The value obtained for the magnetization is 0.266 μB per cell. The value obtained for the total energy is -3.7819 eV per atom.

---

The following is a DFT calculation (PBE-GGA) of K4U3CoSe8 after structural relaxation.

```
data_K4U3CoSe8
_chemical_formula_sum 'K4 U3 Co1 Se8'
_cell_length_a 8.2378
_cell_length_b 9.0788
_cell_length_c 8.2416
_cell_angle_alpha 117.02
_cell_angle_beta 119.98
_cell_angle_gamma 90.00
_space_group_name_H-M_alt 'P 1'
_space_group_IT_number 1
loop_
_space_group_symop_operation_xyz
'x,y,z'
loop_
_atom_site_label
_atom_site_type_symbol
_atom_site_fract_x
_atom_site_fract_y
_atom_site_fract_z
K1 K 0.5000 0.0000 0.5000
Co1 Co 0.0000 0.5000 0.0000
Se1 Se 0.2281 0.6991 0.4563
K2 K 0.5000 0.0000 0.0000
Se2 Se 0.7372 0.7116 0.4744
Se3 Se 0.2628 0.2884 0.5256
K3 K 0.0000 0.0000 0.5000
Se4 Se 0.2566 0.3013 0.0290
U1 U 0.5000 0.5000 0.0000
U2 U 0.0000 0.5000 0.5000
Se5 Se 0.7719 0.3009 0.5437
Se6 Se 0.7724 0.3013 0.0290
U3 U 0.5000 0.5000 0.5000
Se7 Se 0.7434 0.6987 0.9710
Se8 Se 0.2276 0.6987 0.9710
K4 K 0.0000 0.0000 0.0000
```

The space group is R-3m, No. 166. The value obtained for the magnetization is 9.059 μB per cell. The value obtained for the total energy is -5.6405 eV per atom.

---

The following is a DFT calculation (PBE-GGA) of ZrZn2Hg after structural relaxation.

```
data_ZrZn2Hg
_chemical_formula_sum 'Zr1 Zn2 Hg1'
_cell_length_a 4.7077
_cell_length_b 4.7077
_cell_length_c 5.5804
_cell_angle_alpha 81.15
_cell_angle_beta 81.15
_cell_angle_gamma 38.81
_space_group_name_H-M_alt 'P 1'
_space_group_IT_number 1
loop_
_space_group_symop_operation_xyz
'x,y,z'
loop_
_atom_site_label
_atom_site_type_symbol
_atom_site_fract_x
_atom_site_fract_y
_atom_site_fract_z
Zr1 Zr 0.7500 0.7500 0.7500
Zn1 Zn 0.9994 0.9994 0.0080
Zn2 Zn 0.5006 0.5006 0.4920
Hg1 Hg 0.2500 0.2500 0.2500
```

The space group is C2/m, No. 12. The value obtained for the magnetization is 0.000 μB per cell. The value obtained for the total energy is -2.8564 eV per atom.

---

What is the formula in the third record? Mg2FeTe

---

What is the magnetization in the ninth record? 0.000 μB per cell

---

Among the records above, which one has the highest magnetization? K4U3CoSe8